(1)
Entry from the Alexandria database: a relaxed PmScInGe crystal (PBE).

```
data_PmScInGe
_space_group_name_H-M_alt 'F -4 3 m'
_space_group_IT_number 216
_space_group_name_Hall 'F -4 2 3'
_cell_length_a 7.268
_cell_length_b 7.268
_cell_length_c 7.268
_cell_angle_alpha 90.00
_cell_angle_beta 90.00
_cell_angle_gamma 90.00
loop_
_atom_site_label
_atom_site_fract_x
_atom_site_fract_y
_atom_site_fract_z
Pm1 0.000 0.000 0.000
Sc1 0.000 0.000 0.500
In1 0.250 0.250 0.750
Ge1 0.250 0.250 0.250
```

Size of the total moment, μB/cell: 0.00
E_tot, eV per atom: -5.044

(2)
Entry from the Alexandria database: a relaxed PmSmInGe crystal (PBE).

```
data_PmSmInGe
_space_group_name_H-M_alt 'F -4 3 m'
_space_group_IT_number 216
_space_group_name_Hall 'F -4 2 3'
_cell_length_a 7.508
_cell_length_b 7.508
_cell_length_c 7.508
_cell_angle_alpha 90.00
_cell_angle_beta 90.00
_cell_angle_gamma 90.00
loop_
_atom_site_label
_atom_site_fract_x
_atom_site_fract_y
_atom_site_fract_z
Pm1 0.000 0.000 0.000
Sm1 0.000 0.000 0.500
In1 0.250 0.250 0.750
Ge1 0.250 0.250 0.250
```

Size of the total moment, μB/cell: 0.00
E_tot, eV per atom: -4.703

(3)
Entry from the Alexandria database: a relaxed PmTmInGe crystal (PBE).

```
data_PmTmInGe
_space_group_name_H-M_alt 'F -4 3 m'
_space_group_IT_number 216
_space_group_name_Hall 'F -4 2 3'
_cell_length_a 7.404
_cell_length_b 7.404
_cell_length_c 7.404
_cell_angle_alpha 90.00
_cell_angle_beta 90.00
_cell_angle_gamma 90.00
loop_
_atom_site_label
_atom_site_fract_x
_atom_site_fract_y
_atom_site_fract_z
Pm1 0.000 0.000 0.000
Tm1 0.000 0.000 0.500
In1 0.250 0.250 0.750
Ge1 0.250 0.250 0.250
```

Size of the total moment, μB/cell: 0.00
E_tot, eV per atom: -4.609

(4)
Entry from the Alexandria database: a relaxed PrInGe2 crystal (PBE).

```
data_PrInGe2
_space_group_name_H-M_alt 'P 4/m m m'
_space_group_IT_number 123
_space_group_name_Hall '-P 4 2'
_cell_length_a 3.821
_cell_length_b 3.821
_cell_length_c 6.505
_cell_angle_alpha 90.00
_cell_angle_beta 90.00
_cell_angle_gamma 90.00
loop_
_atom_site_label
_atom_site_fract_x
_atom_site_fract_y
_atom_site_fract_z
Pr1 0.000 0.000 0.000
In1 0.000 0.000 0.500
Ge1 0.500 0.500 0.293
```

Size of the total moment, μB/cell: 0.00
E_tot, eV per atom: -4.464

(5)
Entry from the Alexandria database: a relaxed Pr8In3Ge2 crystal (PBE).

```
data_Pr8In3Ge2
_space_group_name_H-M_alt 'C m m m'
_space_group_IT_number 65
_space_group_name_Hall '-C 2 2'
_cell_length_a 9.048
_cell_length_b 16.114
_cell_length_c 5.611
_cell_angle_alpha 90.00
_cell_angle_beta 90.00
_cell_angle_gamma 90.00
loop_
_atom_site_label
_atom_site_fract_x
_atom_site_fract_y
_atom_site_fract_z
Pr1 0.000 0.107 0.000
Pr2 0.000 0.307 0.000
Pr3 0.216 0.374 0.500
In1 0.000 0.000 0.500
In2 0.171 0.500 0.000
Ge1 0.000 0.228 0.500
```

Size of the total moment, μB/cell: 0.00
E_tot, eV per atom: -4.653

(6)
Entry from the Alexandria database: a relaxed Pr2InGe crystal (PBE).

```
data_Pr2InGe
_space_group_name_H-M_alt 'P 1 21/m 1'
_space_group_IT_number 11
_cell_length_a 6.281
_cell_length_b 4.265
_cell_length_c 9.063
_cell_angle_alpha 90.00
_cell_angle_beta 107.84
_cell_angle_gamma 90.00
loop_
_space_group_symop_operation_xyz
'x,y,z'
'-x,-y,-z'
'-x,y+1/2,-z'
'x,-y+1/2,z'
loop_
_atom_site_label
_atom_site_fract_x
_atom_site_fract_y
_atom_site_fract_z
Pr1 0.194 0.250 0.420
Pr2 0.278 0.750 0.062
In1 0.371 0.750 0.710
Ge1 0.130 0.250 0.793
```

Size of the total moment, μB/cell: 0.49
E_tot, eV per atom: -4.881